(1)
Compound: Ag2PdI
Source: Alexandria via LeMat-Bulk
Functional: GGA-PBE
Structure: optimized geometry

Cell: 10.147 10.147 10.147 Å, 18.26 18.26 18.26°
Element x y z (fractional)
Ag 0.097 0.097 0.097
Ag 0.903 0.903 0.903
Pd 0.500 0.500 0.500
I 0.000 0.000 0.000

Calculated values
Its energy above the most stable polymorph in this dataset is 0.00 eV per formula unit.


(2)
Compound: AgPdI6
Source: Alexandria via LeMat-Bulk
Functional: GGA-PBE
Structure: optimized geometry

Cell: 6.766 7.239 7.656 Å, 91.40 116.16 113.98°
Element x y z (fractional)
Ag 0.000 0.000 0.000
Pd 0.000 0.500 0.500
I 0.095 0.858 0.368
I 0.180 0.392 0.272
I 0.440 0.715 0.846
I 0.560 0.285 0.154
I 0.820 0.608 0.728
I 0.905 0.142 0.632


(3)
Compound: Ag2Pd2I
Source: Alexandria via LeMat-Bulk
Functional: GGA-PBE
Structure: optimized geometry

Cell: 7.794 7.794 3.272 Å, 90.00 90.00 90.00°
Element x y z (fractional)
Ag 0.137 0.363 0.000
Ag 0.363 0.863 0.000
Ag 0.637 0.137 0.000
Ag 0.863 0.637 0.000
Pd 0.155 0.655 0.500
Pd 0.345 0.155 0.500
Pd 0.655 0.845 0.500
Pd 0.845 0.345 0.500
I 0.000 0.000 0.000
I 0.500 0.500 0.000

Calculated values
Its energy above the most stable polymorph in this dataset is 0.66 eV per formula unit.


(4)
Compound: Ag3Pd5I12
Source: Alexandria via LeMat-Bulk
Functional: GGA-PBE
Structure: optimized geometry

Cell: 15.305 15.305 15.305 Å, 109.47 109.47 109.47°
Element x y z (fractional)
Ag 0.125 0.250 0.375
Ag 0.125 0.375 0.750
Ag 0.250 0.375 0.125
Ag 0.250 0.875 0.625
Ag 0.375 0.125 0.250
Ag 0.375 0.750 0.125
Ag 0.625 0.250 0.875
Ag 0.625 0.875 0.750
Ag 0.750 0.125 0.375
Ag 0.750 0.625 0.875
Ag 0.875 0.625 0.250
Ag 0.875 0.750 0.625
Pd 0.000 0.000 0.000
Pd 0.000 0.000 0.500
Pd 0.000 0.500 0.000
Pd 0.000 0.500 0.500
Pd 0.125 0.750 0.875
Pd 0.125 0.875 0.250
Pd 0.250 0.125 0.875
Pd 0.250 0.625 0.375
Pd 0.375 0.250 0.625
Pd 0.375 0.625 0.750
Pd 0.500 0.000 0.000
Pd 0.500 0.000 0.500
Pd 0.500 0.500 0.000
Pd 0.500 0.500 0.500
Pd 0.625 0.375 0.250
Pd 0.625 0.750 0.375
Pd 0.750 0.375 0.625
Pd 0.750 0.875 0.125
Pd 0.875 0.125 0.750
Pd 0.875 0.250 0.125
I 0.017 0.184 0.141
I 0.017 0.333 0.876
I 0.043 0.684 0.667
I 0.043 0.859 0.376
I 0.124 0.641 0.457
I 0.124 0.983 0.667
I 0.141 0.017 0.184
I 0.141 0.624 0.957
I 0.167 0.184 0.543
I 0.167 0.483 0.624
I 0.184 0.141 0.017
I 0.184 0.543 0.167
I 0.316 0.333 0.957
I 0.316 0.483 0.359
I 0.333 0.876 0.017
I 0.333 0.957 0.316
I 0.359 0.316 0.483
I 0.359 0.543 0.876
I 0.376 0.043 0.859
I 0.376 0.833 0.517
I 0.457 0.124 0.641
I 0.457 0.833 0.816
I 0.483 0.359 0.316
I 0.483 0.624 0.167
I 0.517 0.376 0.833
I 0.517 0.641 0.684
I 0.543 0.167 0.184
I 0.543 0.876 0.359
I 0.624 0.167 0.483
I 0.624 0.957 0.141
I 0.641 0.457 0.124
I 0.641 0.684 0.517
I 0.667 0.043 0.684
I 0.667 0.124 0.983
I 0.684 0.517 0.641
I 0.684 0.667 0.043
I 0.816 0.457 0.833
I 0.816 0.859 0.983
I 0.833 0.517 0.376
I 0.833 0.816 0.457
I 0.859 0.376 0.043
I 0.859 0.983 0.816
I 0.876 0.017 0.333
I 0.876 0.359 0.543
I 0.957 0.141 0.624
I 0.957 0.316 0.333
I 0.983 0.667 0.124
I 0.983 0.816 0.859


(5)
Compound: AgPdI4
Source: Alexandria via LeMat-Bulk
Functional: GGA-PBE
Structure: optimized geometry

Cell: 7.095 4.148 7.472 Å, 90.00 113.35 90.00°
Element x y z (fractional)
Ag 0.000 0.000 0.000
Pd 0.000 0.500 0.500
I 0.228 0.500 0.282
I 0.254 0.000 0.734
I 0.746 0.000 0.266
I 0.772 0.500 0.718

Calculated values
Its energy above the most stable polymorph in this dataset is 0.00 eV per formula unit.


(6)
Compound: Ag2PdI
Source: Alexandria via LeMat-Bulk
Functional: GGA-PBE
Structure: optimized geometry

Cell: 6.342 6.342 6.342 Å, 101.03 101.03 128.11°
Element x y z (fractional)
Ag 0.099 0.625 0.974
Ag 0.375 0.349 0.474
Ag 0.651 0.125 0.026
Ag 0.875 0.901 0.526
Pd 0.000 0.000 0.000
Pd 0.750 0.250 0.500
I 0.250 0.750 0.500
I 0.500 0.500 0.000

Calculated values
Its energy above the most stable polymorph in this dataset is 0.01 eV per formula unit.


(7)
Compound: Ag2Pd2I
Source: Alexandria via LeMat-Bulk
Functional: GGA-PBE
Structure: optimized geometry

Cell: 7.786 7.786 7.786 Å, 151.38 151.38 40.91°
Element x y z (fractional)
Ag 0.108 0.108 0.000
Ag 0.892 0.892 0.000
Pd 0.250 0.750 0.500
Pd 0.750 0.250 0.500
I 0.500 0.500 0.000

Calculated values
Its energy above the most stable polymorph in this dataset is 0.75 eV per formula unit.


(8)
Compound: Ag3PdI6
Source: Alexandria via LeMat-Bulk
Functional: GGA-PBE
Structure: optimized geometry

Cell: 7.882 7.317 13.585 Å, 90.00 124.89 90.00°
Element x y z (fractional)
Ag 0.000 0.000 0.000
Ag 0.000 0.500 0.500
Ag 0.275 0.006 0.730
Ag 0.275 0.494 0.230
Ag 0.725 0.506 0.770
Ag 0.725 0.994 0.270
Pd 0.500 0.000 0.500
Pd 0.500 0.500 0.000
I 0.120 0.681 0.949
I 0.120 0.819 0.449
I 0.271 0.190 0.918
I 0.271 0.310 0.418
I 0.374 0.609 0.774
I 0.374 0.891 0.274
I 0.626 0.109 0.726
I 0.626 0.391 0.226
I 0.729 0.690 0.582
I 0.729 0.810 0.082
I 0.880 0.181 0.551
I 0.880 0.319 0.051


What did we get for density of states at the Fermi level? Answer: 2.37 5.37 4.79 59.32 6.09 4.08 4.09 10.95 states/eV/cell, in the order shown.
What did we get for formation energy from raw total energies? Answer: 106 -21 118 -124 -65 107 126 -121 kJ/mol of formula units, in the order shown.